Entry from the Alexandria database: crystalline Be9Nb2Mo at its relaxed geometry (PBE-GGA).

```
data_Be9Nb2Mo
_symmetry_space_group_name_H-M 'R -3 m'
_symmetry_Int_Tables_number 166
_symmetry_space_group_name_Hall '-R 3 2"'
_cell_length_a 4.5131
_cell_length_b 4.5131
_cell_length_c 21.0036
_cell_angle_alpha 90.00
_cell_angle_beta 90.00
_cell_angle_gamma 120.00
loop_
_atom_site_label
_atom_site_type_symbol
_atom_site_fract_x
_atom_site_fract_y
_atom_site_fract_z
Be1 Be 0.0000 0.0000 0.0000
Be2 Be 0.0000 0.0000 0.1658
Be3 Be 0.0042 0.5021 0.4200
Nb1 Nb 0.0000 0.0000 0.3596
Mo1 Mo 0.0000 0.0000 0.5000
```

DFT formation energy: -0.22 eV per atom
VASP energy: -201.596 eV per cell
Crystal system: trigonal
Energy above the most stable polymorph in this dataset: 0.0 meV per atom
Mass density: 4.9 Mg/m³